VASP calculation (GGA-PBE) on an optimized crystal structure of Ti5Zn2Rh.

a = 6.5189 Å, b = 6.5189 Å, c = 7.6828 Å
α = 115.10°, β = 115.10°, γ = 90.00°
Positions (direct):
Zn 0.8684 0.6316 0.0000
Rh 0.2500 0.2500 0.5000
Ti 0.5042 0.6795 0.6837
Ti 0.3205 0.8205 0.3163
Ti 0.1795 0.0042 0.6837
Ti 0.9958 0.4958 0.3163
Zn 0.3684 0.8684 0.0000
Ti 0.4958 0.3205 0.3163
Ti 0.0042 0.5042 0.6837
Zn 0.6316 0.1316 0.0000
Rh 0.7500 0.7500 0.5000
Ti 0.6795 0.1795 0.6837
Ti 0.8205 0.9958 0.3163
Zn 0.1316 0.3684 0.0000
Ti 0.0000 0.0000 0.0000
Ti 0.5000 0.5000 0.0000

Computed properties:
The value obtained for the formation enthalpy at 0 K is -0.15 eV/atom. The excess energy over the best structure of this formula in the dataset is 0.087 eV/atom. The calculation puts the density at 6.0 g cm⁻³.

***

VASP calculation (GGA-PBE) on an optimized crystal structure of Ti4ZnRh.

a = 3.0630 Å, b = 3.0630 Å, c = 10.1376 Å
α = 90.00°, β = 90.00°, γ = 90.00°
Positions (direct):
Rh 0.5000 0.5000 0.5000
Ti 0.5000 0.5000 0.8325
Ti 0.5000 0.5000 0.1675
Zn 0.0000 0.0000 0.0000
Ti 0.0000 0.0000 0.6584
Ti 0.0000 0.0000 0.3416

Computed properties:
The value obtained for the formation enthalpy at 0 K is -0.39 eV/atom. The excess energy over the best structure of this formula in the dataset is 0.000 eV/atom. The calculation puts the density at 6.3 g cm⁻³.

***

VASP calculation (GGA-PBE) on an optimized crystal structure of Ti5Zn2Rh2.

a = 6.0634 Å, b = 7.4734 Å, c = 7.6458 Å
α = 119.26°, β = 90.00°, γ = 90.00°
Positions (direct):
Rh 0.6320 0.8629 0.0000
Ti 0.0000 0.0000 0.0000
Ti 0.5000 0.5000 0.0000
Zn 0.5000 0.2860 0.5721
Ti 0.3324 0.9404 0.2675
Rh 0.3680 0.1371 0.0000
Zn 0.5000 0.7140 0.4279
Ti 0.6676 0.0596 0.7325
Ti 0.8324 0.5596 0.7325
Ti 0.8324 0.8272 0.2675
Rh 0.8680 0.3629 0.0000
Ti 0.6676 0.3272 0.2675
Ti 0.3324 0.6728 0.7325
Ti 0.1676 0.1728 0.7325
Zn 0.0000 0.2140 0.4279
Zn 0.0000 0.7860 0.5721
Ti 0.1676 0.4404 0.2675
Rh 0.1320 0.6371 0.0000

Computed properties:
The value obtained for the formation enthalpy at 0 K is -0.23 eV/atom. The calculation puts the density at 6.3 g cm⁻³.

***

VASP calculation (GGA-PBE) on an optimized crystal structure of Ti2ZnRh2.

a = 7.2701 Å, b = 7.2701 Å, c = 2.9733 Å
α = 90.00°, β = 90.00°, γ = 90.00°
Positions (direct):
Rh 0.3612 0.8612 0.0000
Ti 0.3385 0.1615 0.5000
Rh 0.8612 0.6388 0.0000
Zn 0.5000 0.5000 0.0000
Rh 0.6388 0.1388 0.0000
Rh 0.1388 0.3612 0.0000
Zn 0.0000 0.0000 0.0000
Ti 0.6615 0.8385 0.5000
Ti 0.1615 0.6615 0.5000
Ti 0.8385 0.3385 0.5000

Computed properties:
The value obtained for the formation enthalpy at 0 K is -0.57 eV/atom. The calculation puts the density at 7.8 g cm⁻³.

***

> What is the formula in the fourth record?

Ti2ZnRh2

***

Repeat the fourth record exactly.
VASP calculation (GGA-PBE) on an optimized crystal structure of Ti2ZnRh2.

a = 7.2701 Å, b = 7.2701 Å, c = 2.9733 Å
α = 90.00°, β = 90.00°, γ = 90.00°
Positions (direct):
Rh 0.3612 0.8612 0.0000
Ti 0.3385 0.1615 0.5000
Rh 0.8612 0.6388 0.0000
Zn 0.5000 0.5000 0.0000
Rh 0.6388 0.1388 0.0000
Rh 0.1388 0.3612 0.0000
Zn 0.0000 0.0000 0.0000
Ti 0.6615 0.8385 0.5000
Ti 0.1615 0.6615 0.5000
Ti 0.8385 0.3385 0.5000

Computed properties:
The value obtained for the formation enthalpy at 0 K is -0.57 eV/atom. The calculation puts the density at 7.8 g cm⁻³.

***

> Which of these has the highest formation enthalpy at 0 K?

Ti5Zn2Rh

***

> Look up the formation enthalpy at 0 K of the fourth one.

-0.57 eV/atom